Material: KNaSeBr2
Method: DFT, PBE-GGA
State: relaxed

Relative energy among the computed polymorphs in kJ per mole of atoms: 0.0
Crystal system: tetragonal
DOS at the Fermi energy in states/eV per atom: 0.635
Magnetic moment in μB per formula unit: 2.013
E_tot in eV/atom: -2.583
E_form (uncorrected) in eV per atom: -0.734

a = 5.7171 Å, b = 5.7171 Å, c = 5.4585 Å
α = 90.00°, β = 90.00°, γ = 90.00°
Last column: nearest neighbours and their distance in Å.
Space group P4/mmm (No. 123)
One atom of each set of equivalent atoms:
K 0.0000 0.0000 0.0000  8 Br 3.95, 4 Se 4.04
Na 0.5000 0.5000 0.5000  2 Se 2.73, 4 Br 2.86
Se 0.5000 0.5000 0.0000  2 Na 2.73
Br 0.0000 0.5000 0.5000  2 Na 2.86